# PaTlCl6 (PBE, relaxed)
data_PaTlCl6
_chemical_formula_sum 'Pa2 Tl2 Cl12'
_space_group_name_H-M_alt 'C 1 2/m 1'
_space_group_IT_number 12
_cell_length_a 7.413
_cell_length_b 11.937
_cell_length_c 7.190
_cell_angle_alpha 90.00
_cell_angle_beta 104.37
_cell_angle_gamma 90.00
loop_
_space_group_symop_operation_xyz
'x,y,z'
'-x,-y,-z'
'-x,y,-z'
'x,-y,z'
'x+1/2,y+1/2,z'
'-x+1/2,-y+1/2,-z'
'-x+1/2,y+1/2,-z'
'x+1/2,-y+1/2,z'
loop_
_atom_site_label
_atom_site_type_symbol
_atom_site_fract_x
_atom_site_fract_y
_atom_site_fract_z
Pa1 Pa 0.000 0.000 0.000
Tl1 Tl 0.000 0.500 0.500
Cl1 Cl 0.191 0.151 0.219
Cl2 Cl 0.238 0.000 0.797
# Magnetization ... 0.00 Bohr magnetons per cell
# Formation energy without anion corrections ... -13.5 eV/f.u.
# Energy above the lowest structure with this stoichiometry ... 0.022 eV/f.u.